A geometry-optimized Na3YPu3Se8 structure, computed with GGA-PBE.

Lattice parameters (Å, degrees): 8.4710 8.4710 8.4710 59.06 59.06 59.06
Closest atoms and distances in Å follow each position.
Positions (direct):
Na  0.0000  0.5000  0.5000  6 Se 3.06-3.08
Na  0.5000  0.0000  0.5000  6 Se 3.06-3.08
Na  0.5000  0.5000  0.0000  6 Se 3.06-3.08
Y  0.5000  0.5000  0.5000  6 Se 2.88
Pu  0.0000  0.0000  0.5000  6 Se 2.87-2.89
Pu  0.0000  0.5000  0.0000  6 Se 2.87-2.89
Pu  0.5000  0.0000  0.0000  6 Se 2.87-2.89
Se  0.2406  0.7423  0.7423  2 Pu 2.87, 1 Y 2.88, 2 Na 3.08
Se  0.2429  0.2429  0.2429  3 Pu 2.89, 3 Na 3.06
Se  0.2577  0.2577  0.7594  2 Pu 2.87, 1 Y 2.88, 2 Na 3.08
Se  0.2577  0.7594  0.2577  2 Pu 2.87, 1 Y 2.88, 2 Na 3.08
Se  0.7423  0.2406  0.7423  2 Pu 2.87, 1 Y 2.88, 2 Na 3.08
Se  0.7423  0.7423  0.2406  2 Pu 2.87, 1 Y 2.88, 2 Na 3.08
Se  0.7571  0.7571  0.7571  3 Pu 2.89, 3 Na 3.06
Se  0.7594  0.2577  0.2577  2 Pu 2.87, 1 Y 2.88, 2 Na 3.08

Computed properties:
Spin magnetization ... 14.00 μB per formula unit
Raw total energy ... -103.1 eV per cell
Calculated density ... 6008 kg/m³